An optimized crystal structure of ErAlFeO4. Source: Alexandria, functional PBE+U.

Calculated values
raw total energy = -105.01 eV per cell
SG = Imma, No. 74
size of the total moment = 8.01 μB per cell

Unit cell a=6.165 b=6.165 c=6.165 alpha=121.11 beta=117.84 gamma=90.94
Atoms (fractional coordinates):
1 Er 0.000 0.000 0.000
2 Er 0.500 0.000 0.500
3 Al 0.374 0.624 0.750
4 Al 0.626 0.376 0.250
5 Fe 0.000 0.000 0.500
6 Fe 0.000 0.500 0.000
7 O 0.249 0.740 0.509
8 O 0.250 0.258 0.508
9 O 0.250 0.742 0.992
10 O 0.269 0.260 0.009
11 O 0.731 0.740 0.991
12 O 0.750 0.258 0.008
13 O 0.750 0.742 0.492
14 O 0.751 0.260 0.491